Entry from Alexandria: a relaxed structure of MgMnInRu (PBE).

Cell lengths 4.530, 4.530, 4.530 Å; angles 60.00, 60.00, 60.00 degrees
Atoms (fractional coordinates):
Mg 0.000 0.000 0.000
Mn 0.750 0.750 0.750
In 0.500 0.500 0.500
Ru 0.250 0.250 0.250

Output
Space-group type: F-43m (216)
D(E_F) in states/eV/cell: 2.21
Total energy in eV/cell: -22.56
Energy of formation in eV/atom: 0.055
Magnetization in μB/cell: 3.309